(1)
Compound: Co4POs
Source: Alexandria
Functional: PBE
Structure: optimized geometry

abc: 6.6128 6.6128 6.6128
angles: 90.00 90.00 90.00
Closest atoms and distances in Å follow each position.
Space group F-43m (No. 216)
Inequivalent atoms, fractional coordinates:
Co  0.1249  0.1249  0.1249 (multiplicity 16)  6 Co 2.34
P  0.2500  0.2500  0.7500 (multiplicity 4)  12 Co 2.74, 4 Os 2.86
Os  0.0000  0.0000  0.5000 (multiplicity 4)  12 Co 2.74, 4 P 2.86

Values from the calculation:
The calculation puts the formation enthalpy at 0 K at 452.8 meV per atom.


(2)
Compound: CoP2Os
Source: Alexandria
Functional: PBE
Structure: optimized geometry

abc: 2.8148 2.8148 7.3490
angles: 90.00 90.00 90.00
Closest atoms and distances in Å follow each position.
Space group P4mm (No. 99)
Inequivalent atoms, fractional coordinates:
Co  0.0000  0.0000  0.0000 (multiplicity 1)  4 P 2.31
P  0.0000  0.0000  0.4429 (multiplicity 1)  4 Os 2.42
P  0.5000  0.5000  0.8398 (multiplicity 1)  4 Co 2.31
Os  0.5000  0.5000  0.2550 (multiplicity 1)  4 P 2.42

Values from the calculation:
The calculation puts the formation enthalpy at 0 K at 30.9 meV per atom. The calculation puts the energy relative to the lowest polymorph listed for this composition at 321 meV/atom.


(3)
Compound: Co2POs
Source: Alexandria
Functional: PBE
Structure: optimized geometry

abc: 2.6651 2.6651 22.9056
angles: 90.00 90.00 120.00
Closest atoms and distances in Å follow each position.
Space group R-3m (No. 166, hexagonal axes)
Inequivalent atoms, fractional coordinates:
Co  0.0000  0.0000  0.2402 (multiplicity 6)  3 P 2.28
P  0.0000  0.0000  0.5000 (multiplicity 3)  6 Co 2.28
Os  0.0000  0.0000  0.0000 (multiplicity 3)  6 Co 2.63, 6 Os 2.67

Values from the calculation:
The calculation puts the formation enthalpy at 0 K at -42.7 meV per atom.


(4)
Compound: CoP2Os
Source: Alexandria
Functional: PBE
Structure: optimized geometry

abc: 7.4147 3.0343 4.8935
angles: 90.00 103.25 90.00
Closest atoms and distances in Å follow each position.
Space group Cm (No. 8)
Inequivalent atoms, fractional coordinates:
Co  0.0000  0.0000  0.0000 (multiplicity 2)  5 P 2.15-2.31
P  0.2023  0.5000  0.9233 (multiplicity 2)  3 Co 2.15-2.23, 2 Os 2.36
P  0.4749  0.0000  0.3441 (multiplicity 2)  2 Co 2.31, 3 Os 2.39-2.40
Os  0.2149  0.0000  0.5580 (multiplicity 2)  5 P 2.36-2.40

Values from the calculation:
The calculation puts the formation enthalpy at 0 K at -213.5 meV per atom. The calculation puts the energy relative to the lowest polymorph listed for this composition at 77 meV/atom.


(5)
Compound: Co2POs
Source: Alexandria
Functional: PBE
Structure: optimized geometry

abc: 2.7266 2.7266 22.8861
angles: 90.00 90.00 120.00
Closest atoms and distances in Å follow each position.
Space group R3m (No. 160, hexagonal axes)
Inequivalent atoms, fractional coordinates:
Co  0.0000  0.0000  0.0000 (multiplicity 3)  3 P 2.31, 3 Co 2.50
Co  0.0000  0.0000  0.2484 (multiplicity 3)  9 Co 2.50-2.73, 3 Os 2.64
P  0.0000  0.0000  0.7406 (multiplicity 3)  3 Co 2.31, 3 Os 2.45
Os  0.0000  0.0000  0.4890 (multiplicity 3)  3 P 2.45, 3 Co 2.64, 6 Os 2.73

Values from the calculation:
The calculation puts the formation enthalpy at 0 K at 114.5 meV per atom.


(6)
Compound: CoP2Os
Source: Alexandria
Functional: PBE
Structure: optimized geometry

abc: 5.8308 5.8308 5.8308
angles: 90.00 90.00 90.00
Closest atoms and distances in Å follow each position.
Space group Fm-3m (No. 225)
Inequivalent atoms, fractional coordinates:
Co  0.0000  0.0000  0.0000 (multiplicity 4)  8 P 2.52
P  0.2500  0.2500  0.2500 (multiplicity 8)  4 Co 2.52, 4 Os 2.52
Os  0.0000  0.0000  0.5000 (multiplicity 4)  8 P 2.52

Values from the calculation:
The calculation puts the formation enthalpy at 0 K at 38.1 meV per atom. The calculation puts the energy relative to the lowest polymorph listed for this composition at 328 meV/atom.


(7)
Compound: Co2POs
Source: Alexandria
Functional: PBE
Structure: optimized geometry

abc: 2.6863 3.5907 4.8718
angles: 90.00 90.00 90.00
Closest atoms and distances in Å follow each position.
Space group Pmmm (No. 47)
Inequivalent atoms, fractional coordinates:
Co  0.0000  0.0000  0.2465 (multiplicity 2)  4 Co 2.40-2.69, 4 P 2.54, 4 Os 2.56
P  0.5000  0.5000  0.0000 (multiplicity 1)  2 Os 2.44, 8 Co 2.54, 2 P 2.69
Os  0.5000  0.5000  0.5000 (multiplicity 1)  2 P 2.44, 8 Co 2.56, 2 Os 2.69

Values from the calculation:
The calculation puts the formation enthalpy at 0 K at 76.1 meV per atom.


(8)
Compound: Co2POs
Source: Alexandria
Functional: PBE
Structure: optimized geometry

abc: 2.8245 4.0453 8.3073
angles: 90.00 90.00 90.00
Closest atoms and distances in Å follow each position.
Space group Imm2 (No. 44)
Inequivalent atoms, fractional coordinates:
Co  0.0000  0.0000  0.0000 (multiplicity 2)  4 P 2.47, 2 Co 2.65, 4 Os 2.72
Co  0.0000  0.5000  0.2066 (multiplicity 2)  2 P 2.19
P  0.0000  0.0000  0.5054 (multiplicity 2)  2 Co 2.19, 2 Os 2.34
Os  0.0000  0.5000  0.7802 (multiplicity 2)  2 P 2.34, 4 Co 2.54

Values from the calculation:
The calculation puts the formation enthalpy at 0 K at -12.7 meV per atom.